(1)
Crystalline LuCrGe2 at its relaxed geometry, computed with PBE-GGA.

Calculated values
As for the electronic total energy: -21.97 eV/cell. Its theoretical density is 7.08 g/cm3. The value obtained for the spin magnetization is 4.389 μB per cell.

Cell lengths 3.208, 3.208, 9.960 Å; angles 80.73, 80.73, 60.00 degrees
Site moments in Bohr magnetons follow the coordinates.
Fractional coordinates of all 4 atoms:
1 Ge 0.914 0.914 0.258  0.02
2 Ge 0.086 0.086 0.742  0.02
3 Lu 0.500 0.500 0.500  -0.15
4 Cr 0.000 0.000 0.000  -3.69



(2)
Crystalline CaCo2Os at its relaxed geometry, computed with PBE-GGA.

Calculated values
As for the electronic total energy: -25.71 eV/cell. Its theoretical density is 9.58 g/cm3. The value obtained for the spin magnetization is 1.544 μB per cell.

Cell lengths 4.148, 2.740, 5.483 Å; angles 75.47, 90.00, 90.00 degrees
Site moments in Bohr magnetons follow the coordinates.
Fractional coordinates of all 4 atoms:
1 Os 0.000 0.482 0.411  0.01
2 Co 0.500 0.047 0.280  0.75
3 Co 0.000 0.175 0.025  0.86
4 Ca 0.500 0.796 0.784  -0.03



(3)
Crystalline Tc2Ge2Te at its relaxed geometry, computed with PBE-GGA.

Calculated values
Its theoretical density is 9.20 g/cm3. The value obtained for the spin magnetization is 0.000 μB per cell. For the formation energy without anion corrections, the calculation gives 0.094 eV per atom.

Cell lengths 7.380, 7.380, 3.106 Å; angles 90.00, 90.00, 90.00 degrees
Fractional coordinates of all 10 atoms:
1 Ge 0.137 0.637 0.500
2 Ge 0.863 0.363 0.500
3 Ge 0.363 0.137 0.500
4 Ge 0.637 0.863 0.500
5 Te 0.500 0.500 0.000
6 Te 0.000 0.000 0.000
7 Tc 0.346 0.846 0.000
8 Tc 0.154 0.346 0.000
9 Tc 0.846 0.654 0.000
10 Tc 0.654 0.154 0.000



Q: The highest theoretical density belongs to which entry?
A: CaCo2Os